Record 1
Computed, not measured: a relaxed structure of UPt3Rh at the PBE level of DFT.

- space-group type = Pmmn
- ΔE_f (meV/atom) = -445
- magnetic moment (Bohr magnetons per cell) = 1.466
- E above lowest polymorph (eV per formula unit) = 0.00
- raw total energy (eV for the cell shown) = -78.0

Structure (CIF):
```
data_UPt3Rh
_cell_length_a 4.351
_cell_length_b 7.107
_cell_length_c 5.806
_cell_angle_alpha 90.00
_cell_angle_beta 90.00
_cell_angle_gamma 90.00
_symmetry_space_group_name_H-M 'P 1'
_symmetry_Int_Tables_number 1
loop_
_symmetry_equiv_pos_as_xyz
'x,y,z'
loop_
_atom_site_label
_atom_site_type_symbol
_atom_site_fract_x
_atom_site_fract_y
_atom_site_fract_z
_atom_site_occupancy
U1 U 0.250 0.250 0.230 1
U2 U 0.750 0.750 0.770 1
Pt1 Pt 0.250 0.063 0.746 1
Pt2 Pt 0.250 0.437 0.746 1
Pt3 Pt 0.250 0.750 0.475 1
Pt4 Pt 0.750 0.250 0.525 1
Pt5 Pt 0.750 0.563 0.254 1
Pt6 Pt 0.750 0.937 0.254 1
Rh1 Rh 0.250 0.750 0.015 1
Rh2 Rh 0.750 0.250 0.985 1
```

***

Record 2
Computed, not measured: a relaxed structure of UPt2Rh at the PBE level of DFT.

- space-group type = Fm-3m
- ΔE_f (meV/atom) = -433
- magnetic moment (Bohr magnetons per cell) = 0.996
- raw total energy (eV for the cell shown) = -32.5

Structure (CIF):
```
data_UPt2Rh
_cell_length_a 4.662
_cell_length_b 4.662
_cell_length_c 4.662
_cell_angle_alpha 60.00
_cell_angle_beta 60.00
_cell_angle_gamma 60.00
_symmetry_space_group_name_H-M 'P 1'
_symmetry_Int_Tables_number 1
loop_
_symmetry_equiv_pos_as_xyz
'x,y,z'
loop_
_atom_site_label
_atom_site_type_symbol
_atom_site_fract_x
_atom_site_fract_y
_atom_site_fract_z
_atom_site_occupancy
U1 U 0.000 0.000 0.000 1
Pt1 Pt 0.250 0.250 0.250 1
Pt2 Pt 0.750 0.750 0.750 1
Rh1 Rh 0.500 0.500 0.500 1
```

***

Record 3
Computed, not measured: a relaxed structure of UPt4Rh3 at the PBE level of DFT.

- space-group type = C2/m
- ΔE_f (meV/atom) = -269
- magnetic moment (Bohr magnetons per cell) = 0.096
- raw total energy (eV for the cell shown) = -59.7

Structure (CIF):
```
data_UPt4Rh3
_cell_length_a 7.116
_cell_length_b 7.116
_cell_length_c 4.780
_cell_angle_alpha 107.23
_cell_angle_beta 107.23
_cell_angle_gamma 35.35
_symmetry_space_group_name_H-M 'P 1'
_symmetry_Int_Tables_number 1
loop_
_symmetry_equiv_pos_as_xyz
'x,y,z'
loop_
_atom_site_label
_atom_site_type_symbol
_atom_site_fract_x
_atom_site_fract_y
_atom_site_fract_z
_atom_site_occupancy
U1 U 0.000 0.000 0.000 1
Pt1 Pt 0.132 0.132 0.588 1
Pt2 Pt 0.356 0.356 0.768 1
Pt3 Pt 0.644 0.644 0.232 1
Pt4 Pt 0.868 0.868 0.412 1
Rh1 Rh 0.255 0.255 0.169 1
Rh2 Rh 0.500 0.500 0.500 1
Rh3 Rh 0.745 0.745 0.831 1
```

***

Record 4
Computed, not measured: a relaxed structure of UPtRh6 at the PBE level of DFT.

- space-group type = P4/mmm
- ΔE_f (meV/atom) = -318
- magnetic moment (Bohr magnetons per cell) = 0.000
- raw total energy (eV for the cell shown) = -64.0

Structure (CIF):
```
data_UPtRh6
_cell_length_a 5.581
_cell_length_b 5.581
_cell_length_c 3.959
_cell_angle_alpha 90.00
_cell_angle_beta 90.00
_cell_angle_gamma 90.00
_symmetry_space_group_name_H-M 'P 1'
_symmetry_Int_Tables_number 1
loop_
_symmetry_equiv_pos_as_xyz
'x,y,z'
loop_
_atom_site_label
_atom_site_type_symbol
_atom_site_fract_x
_atom_site_fract_y
_atom_site_fract_z
_atom_site_occupancy
U1 U 0.000 0.000 0.000 1
Pt1 Pt 0.500 0.500 0.000 1
Rh1 Rh 0.000 0.500 0.000 1
Rh2 Rh 0.250 0.250 0.500 1
Rh3 Rh 0.250 0.750 0.500 1
Rh4 Rh 0.500 0.000 0.000 1
Rh5 Rh 0.750 0.250 0.500 1
Rh6 Rh 0.750 0.750 0.500 1
```